Here is a relaxed structure of CoBi2ClF from the Alexandria database. Energies are from PBE+U.

a = 5.0637 Å, b = 5.0637 Å, c = 4.7270 Å
α = 90.00°, β = 90.00°, γ = 90.00°
Closest atoms and distances in Å follow each position.
Space group P4/mmm (No. 123)
Symmetry-distinct sites (fractional):
Co 0.0000 0.0000 0.0000  2 Cl 2.36, 4 Bi 2.53
Bi 0.0000 0.5000 0.0000  2 Co 2.53
Cl 0.0000 0.0000 0.5000  2 Co 2.36
F 0.5000 0.5000 0.5000  8 Bi 3.46, 4 Cl 3.58

Computed properties:
Final energy = -3.40 eV per atom
D(E_F) = 0.832 states/eV/atom